A plane-wave DFT calculation with GGA+U was carried out for a relaxed Sr2PbWO6 crystal.

Properties
Its total energy is -6.5656 eV per atom.

a b c (Å): 5.8713 5.8713 5.3424
angles (deg): 90.00 90.00 90.00
Space group P4mm (No. 99)
Inequivalent atoms, fractional coordinates:
Sr (0.0000, 0.5000, 0.0000) x2
Pb (0.0000, 0.0000, 0.5571) x1
W (0.5000, 0.5000, 0.6226) x1
O (0.0000, 0.0000, 0.1440) x1
O (0.2812, 0.2812, 0.7355) x4
O (0.5000, 0.5000, 0.2792) x1